(1)
Density functional theory data (PBE) for crystalline Dy4ErSc8 at its relaxed geometry.

E_form in eV per atom: 0.5940
VASP energy in eV per cell: -65.9
Calculated density in kg/m3: 4898
Symmetry: No. 166

```
13
Lattice="7.172 -1.090 1.256 0.859 7.203 1.256 -1.432 -1.090 7.139" Properties=species:S:1:pos:R:3 pbc="T T T"
Sc 5.304 0.638 2.964
Sc 1.295 4.385 6.686
Er 3.299 2.512 4.825
Sc 1.585 1.206 2.318
Sc 4.572 0.080 6.686
Dy -0.286 3.057 4.197
Sc 2.027 4.943 2.964
Sc 5.014 3.817 7.333
Dy 4.015 3.057 1.256
Dy 2.870 -1.090 4.197
Sc 5.761 4.385 3.632
Sc 0.838 0.638 6.018
Dy 0.000 0.000 0.000
```

(2)
Density functional theory data (PBE) for crystalline TiIO3 at its relaxed geometry.

VASP energy in eV per cell: -30.7
Calculated density in kg/m3: 5965
Symmetry: No. 221

```
5
Lattice="3.958 0.000 0.000 0.000 3.958 0.000 0.000 0.000 3.958" Properties=species:S:1:pos:R:3 pbc="T T T"
I 1.979 1.979 1.979
Ti 0.000 0.000 0.000
O 0.000 0.000 1.979
O 0.000 1.979 0.000
O 1.979 0.000 0.000
```

(3)
Density functional theory data (PBE) for crystalline LaTb12Nd6 at its relaxed geometry.

E_form in eV per atom: 0.2001
VASP energy in eV per cell: -85.3
Calculated density in kg/m3: 7359
E above lowest polymorph in eV per atom: 0.0266
Symmetry: No. 166

```
19
Lattice="-1.425 -8.694 -0.142 0.234 1.472 -8.684 8.666 -0.077 1.591" Properties=species:S:1:pos:R:3 pbc="T T T"
Nd 1.917 -6.533 -7.403
Nd -0.052 -5.556 -0.795
Tb 4.874 -4.291 -7.042
Tb 5.911 -4.049 -0.970
Nd 0.870 0.096 -5.545
Nd 6.605 -7.395 -1.690
Tb 6.338 -1.429 -3.171
Tb 1.565 -3.250 -6.265
Tb 4.418 -7.086 -4.694
Tb 2.601 -3.008 -0.193
Tb 0.283 -2.582 -3.018
Nd 5.558 -0.766 0.168
Tb 3.058 -0.213 -2.541
Tb 4.165 -1.029 -5.819
Tb 1.138 -5.870 -4.064
Nd 7.528 -1.742 -6.440
Tb 7.192 -4.717 -4.217
La 0.000 0.000 0.000
Tb 3.310 -6.269 -1.416
```

(4)
Density functional theory data (PBE) for crystalline ScAlGa at its relaxed geometry.

E_form in eV per atom: -0.1234
VASP energy in eV per cell: -13.5
Calculated density in kg/m3: 3969
Symmetry: No. 107

```
3
Lattice="3.735 0.000 0.000 0.000 3.735 0.000 -1.867 -1.867 4.249" Properties=species:S:1:pos:R:3 pbc="T T T"
Al 1.867 1.867 0.948
Ga 0.000 0.000 2.439
Sc 1.867 1.867 3.836
```

(5)
Density functional theory data (PBE) for crystalline KNiPt2 at its relaxed geometry.

E_form in eV per atom: 0.3553
VASP energy in eV per cell: -17.5
Calculated density in kg/m3: 10820
E above lowest polymorph in eV per atom: 0.2562
Symmetry: No. 44

```
4
Lattice="-1.009 3.792 4.579 -5.287 2.823 0.660 3.552 -4.871 -0.161" Properties=species:S:1:pos:R:3 pbc="T T T"
Ni -0.551 1.375 3.725
Pt -2.216 0.392 1.371
Pt -6.240 6.556 5.192
K -3.183 3.344 2.648
```

(6)
Density functional theory data (PBE) for crystalline Ti2Bi2Pd at its relaxed geometry.

E_form in eV per atom: 0.0121
VASP energy in eV per cell: -57.4
Calculated density in kg/m3: 9498
E above lowest polymorph in eV per atom: 0.0545
Symmetry: No. 127

```
10
Lattice="-5.230 -4.918 -2.547 3.557 -5.667 3.641 -2.083 0.643 3.036" Properties=species:S:1:pos:R:3 pbc="T T T"
Ti -2.520 -2.234 1.045
Pd -0.836 -5.293 0.547
Bi -2.893 -4.223 -1.091
Ti -4.276 -6.061 0.650
Pd 0.000 0.000 0.000
Bi 0.315 -2.709 0.790
Ti -1.236 -7.708 3.085
Ti 0.521 -3.881 3.480
Bi 1.221 -6.363 2.185
Bi -1.987 -7.876 0.305
```

(7)
Density functional theory data (PBE) for crystalline SrBePb2 at its relaxed geometry.

E_form in eV per atom: 0.0584
VASP energy in eV per cell: -12.6
Calculated density in kg/m3: 7527
Symmetry: No. 166

```
4
Lattice="-3.729 -4.308 3.700 -1.729 -6.564 0.280 0.674 -5.455 3.992" Properties=species:S:1:pos:R:3 pbc="T T T"
Be -3.588 -12.246 5.980
Pb -2.246 -7.665 3.743
Sr -1.196 -4.082 1.993
Pb -0.146 -0.499 0.244
```

(8)
Density functional theory data (PBE) for crystalline Be2ReAuN at its relaxed geometry.

VASP energy in eV per cell: -27.2
Calculated density in kg/m3: 11077
Symmetry: No. 123

```
5
Lattice="3.672 0.000 0.000 0.000 4.616 0.000 0.000 0.000 3.672" Properties=species:S:1:pos:R:3 pbc="T T T"
Au 0.000 2.308 0.000
Be 0.000 0.000 1.836
N 0.000 0.000 0.000
Be 1.836 0.000 0.000
Re 1.836 2.308 1.836
```